The following is a PBE+U calculation of a relaxed structure of CeEu2CrO6, from the Alexandria database.

Cell and atoms, written as POSCAR:
```
CeEu2CrO6
1.0
0.000 4.139 4.139
4.139 0.000 4.139
4.139 4.139 0.000
Ce Eu Cr O
1 2 1 6
Direct
0.000 0.000 0.000
0.250 0.250 0.250
0.750 0.750 0.750
0.500 0.500 0.500
0.264 0.264 0.736
0.264 0.736 0.264
0.264 0.736 0.736
0.736 0.264 0.264
0.736 0.264 0.736
0.736 0.736 0.264
```

E: -9.022 eV/atom
size of the total moment: 1.60 μB/atom